[1]
! MnBSeBr2, optimized geometry, DFT PBE; values from VASP
! E_form (uncorrected) (meV per atom): 1011
! Raw total energy (eV/atom): -3.52
! Excess energy over the best structure of this formula in the dataset (meV/atom): 400.1
&SYSTEM
  ibrav = 0, nat = 5, ntyp = 4
/
ATOMIC_SPECIES
B 10.81 B.upf
Mn 54.94 Mn.upf
Se 78.96 Se.upf
Br 79.90 Br.upf
ATOMIC_POSITIONS angstrom
B 2.5645 2.5645 2.2342
Mn 0.0000 0.0000 0.0000
Se 0.0000 0.0000 2.2342
Br 0.0000 2.5645 0.0000
Br 2.5645 0.0000 0.0000
CELL_PARAMETERS angstrom
5.1289 0.0000 0.0000
0.0000 5.1289 0.0000
0.0000 0.0000 4.4684

---

[2]
! Ce2Pa2N7, optimized geometry, DFT PBE; values from VASP
! E_form (uncorrected) (meV per atom): -1073
! Raw total energy (eV/atom): -9.18
&SYSTEM
  ibrav = 0, nat = 11, ntyp = 3
/
ATOMIC_SPECIES
Ce 140.12 Ce.upf
Pa 231.04 Pa.upf
N 14.01 N.upf
ATOMIC_POSITIONS angstrom
Ce -3.3985 5.2415 0.2128
Ce -2.9265 1.6714 0.0043
Pa -0.4381 3.9194 -1.6517
Pa -5.8869 2.9934 1.8688
N -2.0272 5.6548 -1.7385
N -4.8004 5.0594 2.1776
N -4.2977 1.2581 1.9556
N -1.5246 1.8534 -1.9605
N 0.0000 0.0000 0.0000
N -4.5222 3.2801 0.0504
N -1.8027 3.6328 0.1667
CELL_PARAMETERS angstrom
-0.3638 4.0551 -3.8067
-5.3197 -0.6901 -0.2269
-0.6415 3.5478 4.2507

---

[3]
! Re4P3, optimized geometry, DFT PBE; values from VASP
! Raw total energy (eV/atom): -8.65
! Formation energy from the elements (eV per atom): 0.79
! Excess energy over the best structure of this formula in the dataset (meV/atom): 846.3
&SYSTEM
  ibrav = 0, nat = 7, ntyp = 2
/
ATOMIC_SPECIES
Re 186.21 Re.upf
P 30.97 P.upf
ATOMIC_POSITIONS angstrom
Re 0.0000 0.0000 1.5040
Re 0.0000 0.0000 4.0874
Re 2.2590 -1.3042 2.7957
Re 2.2590 1.3042 2.7957
P 1.1295 1.9564 0.0000
P 2.2590 0.0000 0.0000
P 1.1295 -1.9564 0.0000
CELL_PARAMETERS angstrom
2.2590 -3.9127 0.0000
2.2590 3.9127 0.0000
0.0000 0.0000 5.5914

---

[4]
! Ho8Tm5Th, optimized geometry, DFT PBE; values from VASP
! Raw total energy (eV/atom): -4.45
! Formation energy from the elements (eV per atom): 0.29
&SYSTEM
  ibrav = 0, nat = 14, ntyp = 3
/
ATOMIC_SPECIES
Ho 164.93 Ho.upf
Tm 168.93 Tm.upf
Th 232.04 Th.upf
ATOMIC_POSITIONS angstrom
Ho -1.7399 4.9361 -1.8848
Ho 7.1345 0.5210 2.9261
Ho 4.8578 1.7245 0.2167
Ho 3.8043 2.6495 4.8405
Ho 1.7485 4.0566 -0.8697
Ho 1.0134 6.1851 2.9007
Ho 1.7160 1.7699 1.8676
Ho -2.2866 4.9816 1.6221
Tm -0.9987 2.1754 0.0634
Tm 3.2662 6.0736 -3.2342
Tm 3.7991 4.5307 1.9393
Tm 4.0620 0.0000 2.9048
Tm 2.0573 0.6325 7.0412
Th 0.0806 3.3530 4.1798
CELL_PARAMETERS angstrom
7.9628 0.0000 -2.5500
-4.0620 6.7061 -2.9048
0.1612 0.0000 8.3596

---

[5]
! TbHfCu2, optimized geometry, DFT PBE; values from VASP
! Raw total energy (eV/atom): -5.79
! Formation energy from the elements (eV per atom): -0.10
! Excess energy over the best structure of this formula in the dataset (meV/atom): 48.5
&SYSTEM
  ibrav = 0, nat = 4, ntyp = 3
/
ATOMIC_SPECIES
Tb 158.93 Tb.upf
Hf 178.49 Hf.upf
Cu 63.55 Cu.upf
ATOMIC_POSITIONS angstrom
Tb -3.5853 -1.0451 -0.4278
Hf -0.3375 -0.9002 -1.3419
Cu -1.9320 1.3411 -0.4137
Cu -1.3158 -1.4859 1.3278
CELL_PARAMETERS angstrom
-0.6750 -1.8004 -2.6837
-2.6315 -2.9719 2.6556
-3.8641 2.6821 -0.8274

---

[6]
! Tc2AgRu, optimized geometry, DFT PBE; values from VASP
! Raw total energy (eV/atom): -7.81
! Formation energy from the elements (eV per atom): 0.40
! Excess energy over the best structure of this formula in the dataset (meV/atom): 167.3
&SYSTEM
  ibrav = 0, nat = 4, ntyp = 3
/
ATOMIC_SPECIES
Ag 107.87 Ag.upf
Ru 101.07 Ru.upf
Tc 98.00 Tc.upf
ATOMIC_POSITIONS angstrom
Ag 2.4391 0.7258 1.1715
Ru 7.3174 2.1774 3.5145
Tc 0.9032 0.2687 4.5817
Tc 4.8126 1.4320 2.4482
CELL_PARAMETERS angstrom
4.8544 -0.0003 -0.0004
4.0646 2.6542 -0.0004
0.8375 0.2492 4.6868

---

[7]
! SrDyCd4, optimized geometry, DFT PBE; values from VASP
! Raw total energy (eV/atom): -1.96
! Formation energy from the elements (eV per atom): -0.30
! Excess energy over the best structure of this formula in the dataset (meV/atom): 0.0
&SYSTEM
  ibrav = 0, nat = 6, ntyp = 3
/
ATOMIC_SPECIES
Sr 87.62 Sr.upf
Dy 162.50 Dy.upf
Cd 112.41 Cd.upf
ATOMIC_POSITIONS angstrom
Sr 3.5642 5.0458 4.3945
Dy 3.5629 2.5155 8.8054
Cd 1.7801 5.0463 1.3978
Cd 1.7794 5.0466 7.3908
Cd 1.7793 2.5162 5.9350
Cd 1.7793 2.5160 2.8538
CELL_PARAMETERS angstrom
3.5677 -0.0013 0.0003
0.0016 5.0607 -0.0002
-0.0007 0.0002 8.8216

---

[8]
! Ca3Cu5O12, optimized geometry, DFT PBE; values from VASP
! E_form (uncorrected) (meV per atom): -1055
! Raw total energy (eV/atom): -5.35
&SYSTEM
  ibrav = 0, nat = 80, ntyp = 3
/
ATOMIC_SPECIES
Ca 40.08 Ca.upf
Cu 63.55 Cu.upf
O 16.00 O.upf
ATOMIC_POSITIONS angstrom
Ca -6.6566 -1.2740 -2.0673
Ca -7.4806 -4.8535 -2.9908
Ca -2.4551 -5.1836 4.1606
Ca -2.0192 0.4167 2.7755
Ca -8.0016 2.0913 -0.9668
Ca -2.7989 -4.8043 0.4078
Ca -5.1008 -0.0945 4.9174
Ca 0.1020 -6.9900 6.2921
Ca -5.8804 -5.3154 2.5498
Ca -5.4446 0.2849 1.1647
Ca -0.4190 -0.0452 8.3161
Ca -1.2430 -3.6248 7.3926
Cu -0.6742 -2.9486 1.6750
Cu 0.4767 -5.3035 -0.5798
Cu 0.0000 0.0000 0.0000
Cu -3.2313 -1.1422 -0.4565
Cu -4.4265 2.8541 3.2424
Cu -4.2493 -3.7114 -2.5343
Cu -0.2418 -6.6107 2.5393
Cu -6.4458 3.2708 6.0179
Cu -6.2685 -3.2947 0.2412
Cu -2.9761 1.7612 6.1846
Cu -4.9235 -6.6599 -0.8593
Cu -3.9498 -2.4494 2.6626
Cu -4.7260 1.5921 -1.9545
Cu 0.2995 1.2620 5.1969
Cu -1.6311 -1.6041 5.0840
Cu -1.4539 -8.1695 -0.6927
Cu 0.7762 -4.0415 4.6171
Cu -7.6578 1.7119 2.7859
Cu -4.6684 -3.7566 5.7818
Cu -7.2254 -1.9502 3.6503
O -6.4551 1.0206 -2.6292
O -2.3399 -3.4801 2.3203
O -8.6975 -0.1708 -1.1084
O -4.6766 -0.1212 -1.0414
O -4.3975 -3.8422 3.9399
O -8.5711 -2.7680 -2.7034
O -2.0606 -6.4234 2.1785
O 0.0423 -9.1739 -0.2173
O -4.2971 -6.7737 3.5436
O -5.9253 -3.4763 -1.5816
O -6.9128 -1.5462 0.2740
O -6.9305 -6.9036 -4.0472
O -0.1392 -5.6914 4.1573
O -3.1783 -2.8717 -1.1488
O 0.3516 -8.3757 2.6161
O -3.5174 1.5954 4.4089
O -0.4555 -1.1033 1.5320
O -3.8174 -5.3869 -1.6524
O -6.7448 -6.3812 -1.1397
O -0.6560 -3.8559 0.0472
O -2.1965 -7.1281 5.7270
O -4.7914 -3.5931 1.3378
O -7.4447 -4.5631 0.9347
O -6.7345 1.4301 6.0613
O -3.1082 -1.3056 3.9875
O -0.4549 -0.3356 4.3905
O -1.1652 -6.3288 -0.7361
O -1.1548 1.4825 6.4650
O -5.7031 2.2294 -0.4018
O -7.2436 -1.0429 5.2781
O -4.0823 0.4881 6.9777
O -4.3823 -6.4941 0.9163
O -7.4441 -3.7955 3.7933
O -8.2512 3.4770 2.7092
O -7.7605 0.7927 1.1680
O -0.9691 2.0049 9.3724
O -4.7213 -2.0270 6.4740
O -3.6026 1.8749 1.7816
O -1.9744 -1.4224 6.9068
O -0.9869 -3.3526 5.0513
O -7.9419 4.2752 5.5426
O -5.8390 1.5247 3.1468
O -3.2230 -4.7775 6.3666
O 0.6715 -2.1308 8.0287
O -3.5021 -1.0566 1.3854
O 0.7979 -4.7280 6.4337
O -5.5598 -1.4186 3.0050
O -1.4445 -5.9193 7.9545
CELL_PARAMETERS angstrom
-9.4521 3.1842 -3.9089
0.9534 -10.6069 -1.1596
0.5990 2.5240 10.3938

---

[9]
! VZn2BIr, optimized geometry, DFT PBE; values from VASP
! Raw total energy (eV/atom): -4.58
! Formation energy from the elements (eV per atom): 0.86
&SYSTEM
  ibrav = 0, nat = 5, ntyp = 4
/
ATOMIC_SPECIES
Zn 65.41 Zn.upf
Ir 192.22 Ir.upf
B 10.81 B.upf
V 50.94 V.upf
ATOMIC_POSITIONS angstrom
Zn 0.0000 0.0000 2.3656
Zn 2.3656 0.0000 0.0000
Ir 0.0000 0.0000 0.0000
B 0.0000 1.9843 0.0000
V 2.3656 1.9843 2.3656
CELL_PARAMETERS angstrom
4.7313 0.0000 0.0000
0.0000 3.9685 0.0000
0.0000 0.0000 4.7313

---

[10]
! InGaAu3, optimized geometry, DFT PBE; values from VASP
! Raw total energy (eV/atom): -2.97
! Formation energy from the elements (eV per atom): 0.15
! Excess energy over the best structure of this formula in the dataset (meV/atom): 323.4
&SYSTEM
  ibrav = 0, nat = 5, ntyp = 3
/
ATOMIC_SPECIES
Au 196.97 Au.upf
Ga 69.72 Ga.upf
In 114.82 In.upf
ATOMIC_POSITIONS angstrom
Au 0.0000 2.4820 0.0000
Au 0.0000 0.0000 2.4820
Au 2.4820 0.0000 0.0000
Ga 0.0000 0.0000 0.0000
In 2.4820 2.4820 2.4820
CELL_PARAMETERS angstrom
4.9640 0.0000 0.0000
0.0000 4.9640 0.0000
0.0000 0.0000 4.9640

---

[11]
! CaPrTlPb, optimized geometry, DFT PBE; values from VASP
! Raw total energy (eV/atom): -3.66
! Formation energy from the elements (eV per atom): -0.44
! Excess energy over the best structure of this formula in the dataset (meV/atom): 32.0
&SYSTEM
  ibrav = 0, nat = 4, ntyp = 4
/
ATOMIC_SPECIES
Pb 207.20 Pb.upf
Pr 140.91 Pr.upf
Tl 204.38 Tl.upf
Ca 40.08 Ca.upf
ATOMIC_POSITIONS angstrom
Pb 5.5698 3.2157 2.2739
Pr 8.3547 4.8236 3.4108
Tl 0.0000 0.0000 0.0000
Ca 2.7849 1.6079 1.1369
CELL_PARAMETERS angstrom
5.5698 0.0000 0.0000
2.7849 4.8236 0.0000
2.7849 1.6079 4.5477

---

[12]
! InPb2Se2, optimized geometry, DFT PBE; values from VASP
! E_form (uncorrected) (meV per atom): -82
! Raw total energy (eV/atom): -3.51
! Excess energy over the best structure of this formula in the dataset (meV/atom): 203.0
&SYSTEM
  ibrav = 0, nat = 5, ntyp = 3
/
ATOMIC_SPECIES
Pb 207.20 Pb.upf
Se 78.96 Se.upf
In 114.82 In.upf
ATOMIC_POSITIONS angstrom
Pb 4.9108 2.4554 3.5006
Pb 2.4554 4.9108 3.5006
Se 2.4554 2.4554 1.6562
Se 4.9108 4.9108 5.3450
In 0.0000 0.0000 0.0000
CELL_PARAMETERS angstrom
4.9108 0.0000 0.0000
0.0000 4.9108 0.0000
2.4554 2.4554 7.0012

---

[13]
! VIrOs2, optimized geometry, DFT PBE; values from VASP
! Raw total energy (eV/atom): -10.21
! Formation energy from the elements (eV per atom): -0.10
! Excess energy over the best structure of this formula in the dataset (meV/atom): 122.3
&SYSTEM
  ibrav = 0, nat = 8, ntyp = 3
/
ATOMIC_SPECIES
V 50.94 V.upf
Ir 192.22 Ir.upf
Os 190.23 Os.upf
ATOMIC_POSITIONS angstrom
V -2.9866 -3.8093 -2.3629
V 2.5361 -5.9241 0.1328
Ir -0.6660 -2.7328 -1.6867
Ir 0.2155 -7.0005 -0.5433
Os 1.1743 -8.7715 -2.2604
Os -1.6249 -0.9618 0.0303
Os -0.0329 -4.4920 0.1864
Os -0.4177 -5.2414 -2.4165
CELL_PARAMETERS angstrom
-1.8050 -0.7302 1.8958
-2.1743 -1.1782 -4.4719
3.5288 -7.8249 0.3459

---

[14]
! Ba5AgAu2, optimized geometry, DFT PBE; values from VASP
! Raw total energy (eV/atom): -2.82
! Formation energy from the elements (eV per atom): -0.44
&SYSTEM
  ibrav = 0, nat = 16, ntyp = 3
/
ATOMIC_SPECIES
Ba 137.33 Ba.upf
Ag 107.87 Ag.upf
Au 196.97 Au.upf
ATOMIC_POSITIONS angstrom
Ba 2.9725 5.4168 2.8279
Ba 4.7254 7.6156 -3.8831
Ba 0.0000 0.0000 0.0000
Ba 3.1274 3.9230 -3.7992
Ba 1.4908 0.1818 6.6271
Ba 5.2150 1.4938 4.0922
Ba -0.7517 4.1048 5.3628
Ba 1.0012 6.3036 -1.3482
Ba 6.9679 3.6926 -2.6188
Ba 3.2437 2.3806 -0.0839
Ag 4.6718 5.8602 -0.5276
Ag 1.5444 1.9372 3.2716
Au 0.3693 2.9136 -1.8996
Au 4.8288 1.0093 -2.8771
Au 1.4261 6.8366 -4.7213
Au 5.8855 4.9323 -5.6988
CELL_PARAMETERS angstrom
8.0483 0.0000 -3.7992
-1.7934 7.8459 -3.7992
-0.0387 -0.0485 10.3425

---

[15]
! SrBe2Re, optimized geometry, DFT PBE; values from VASP
! Raw total energy (eV/atom): -4.44
! Formation energy from the elements (eV per atom): 0.96
! Excess energy over the best structure of this formula in the dataset (meV/atom): 638.1
&SYSTEM
  ibrav = 0, nat = 4, ntyp = 3
/
ATOMIC_SPECIES
Re 186.21 Re.upf
Be 9.01 Be.upf
Sr 87.62 Sr.upf
ATOMIC_POSITIONS angstrom
Re 3.1901 3.1901 3.1901
Be 1.5950 1.5950 1.5950
Be 4.7851 4.7851 4.7851
Sr 0.0000 0.0000 0.0000
CELL_PARAMETERS angstrom
0.0000 3.1901 3.1901
3.1901 0.0000 3.1901
3.1901 3.1901 0.0000

---

[16]
! Ca3AcIr, optimized geometry, DFT PBE; values from VASP
! Raw total energy (eV/atom): -4.08
! Formation energy from the elements (eV per atom): -0.29
! Excess energy over the best structure of this formula in the dataset (meV/atom): 0.0
&SYSTEM
  ibrav = 0, nat = 10, ntyp = 3
/
ATOMIC_SPECIES
Ca 40.08 Ca.upf
Ac 227.00 Ac.upf
Ir 192.22 Ir.upf
ATOMIC_POSITIONS angstrom
Ca -4.2553 3.6794 1.5414
Ca -0.6611 -1.2958 2.7257
Ca -2.2644 1.1096 4.5069
Ca -4.5609 -0.2431 1.7525
Ca 1.3298 -3.8655 5.6912
Ca 1.6353 0.0570 5.4800
Ac -0.8971 4.6869 3.6195
Ac -2.0285 -4.8731 3.6130
Ir -3.2365 -1.9668 3.7050
Ir 0.3110 1.7807 3.5275
CELL_PARAMETERS angstrom
-6.7966 3.6133 -0.2145
-1.3680 -7.0854 2.6871
5.2391 3.2859 4.7600

---

[17]
! Y2ZrAl2, optimized geometry, DFT PBE; values from VASP
! Raw total energy (eV/atom): -6.03
! Formation energy from the elements (eV per atom): -0.24
&SYSTEM
  ibrav = 0, nat = 10, ntyp = 3
/
ATOMIC_SPECIES
Y 88.91 Y.upf
Al 26.98 Al.upf
Zr 91.22 Zr.upf
ATOMIC_POSITIONS angstrom
Y 1.4372 5.4685 1.8763
Y 5.4685 6.6252 1.8763
Y 6.6252 2.5940 1.8763
Y 2.5940 1.4372 1.8763
Al 3.0631 7.0943 0.0000
Al 7.0943 4.9993 0.0000
Al 4.9993 0.9681 0.0000
Al 0.9681 3.0631 0.0000
Zr 0.0000 0.0000 0.0000
Zr 4.0312 4.0312 0.0000
CELL_PARAMETERS angstrom
8.0624 0.0000 0.0000
0.0000 8.0624 0.0000
0.0000 0.0000 3.7527

---

[18]
! Mn4Rh, optimized geometry, DFT PBE; values from VASP
! Raw total energy (eV/atom): -7.68
! Formation energy from the elements (eV per atom): 1.13
&SYSTEM
  ibrav = 0, nat = 5, ntyp = 2
/
ATOMIC_SPECIES
Mn 54.94 Mn.upf
Rh 102.91 Rh.upf
ATOMIC_POSITIONS angstrom
Mn 0.0000 0.0000 0.0000
Mn 2.3832 0.0000 2.3832
Mn 0.0000 2.3832 2.3832
Mn 2.3832 2.3832 0.0000
Rh 2.3832 2.3832 2.3832
CELL_PARAMETERS angstrom
4.7663 0.0000 0.0000
0.0000 4.7663 0.0000
0.0000 0.0000 4.7663

---

[19]
! NdZnSb2, optimized geometry, DFT PBE; values from VASP
! E_form (uncorrected) (meV per atom): -302
! Raw total energy (eV/atom): -3.87
&SYSTEM
  ibrav = 0, nat = 4, ntyp = 3
/
ATOMIC_SPECIES
Sb 121.76 Sb.upf
Zn 65.41 Zn.upf
Nd 144.24 Nd.upf
ATOMIC_POSITIONS angstrom
Sb -1.5129 -0.9964 2.2931
Sb -4.5582 -2.4935 7.7054
Zn 0.0000 0.0000 0.0000
Nd -3.0355 -1.7450 4.9992
CELL_PARAMETERS angstrom
-3.9863 -1.5562 0.8408
-0.4632 -3.7229 2.2238
-1.6216 1.7892 6.9338

---

[20]
! SrLiB2, optimized geometry, DFT PBE; values from VASP
! Raw total energy (eV/atom): -3.66
! Formation energy from the elements (eV per atom): 0.58
! Excess energy over the best structure of this formula in the dataset (meV/atom): 0.0
&SYSTEM
  ibrav = 0, nat = 8, ntyp = 3
/
ATOMIC_SPECIES
Sr 87.62 Sr.upf
B 10.81 B.upf
Li 6.94 Li.upf
ATOMIC_POSITIONS angstrom
Sr 0.0000 0.0000 0.0000
Sr 3.7860 1.8930 4.0308
B 1.8931 0.9465 2.0154
B 1.8929 2.8395 2.0154
B 2.8395 3.7859 6.0462
B 4.7325 3.7861 6.0462
Li 1.8930 1.8930 0.0000
Li 1.8930 3.7860 4.0308
CELL_PARAMETERS angstrom
3.7860 0.0000 0.0000
0.0000 3.7860 0.0000
1.8930 1.8930 8.0616

---

[21]
! CdN2O2, optimized geometry, DFT PBE; values from VASP
! E_form (uncorrected) (meV per atom): 2272
! Raw total energy (eV/atom): -3.22
! Excess energy over the best structure of this formula in the dataset (meV/atom): 1220.3
&SYSTEM
  ibrav = 0, nat = 5, ntyp = 3
/
ATOMIC_SPECIES
N 14.01 N.upf
O 16.00 O.upf
Cd 112.41 Cd.upf
ATOMIC_POSITIONS angstrom
N 2.1920 2.1920 2.4456
N 0.0000 0.0000 2.4456
O 0.0000 2.1920 0.0000
O 2.1920 0.0000 0.0000
Cd 0.0000 0.0000 0.0000
CELL_PARAMETERS angstrom
4.3840 0.0000 0.0000
0.0000 4.3840 0.0000
0.0000 0.0000 4.8911

---

[22]
! PrHgC, optimized geometry, DFT PBE; values from VASP
! Raw total energy (eV/atom): -5.04
! Formation energy from the elements (eV per atom): -0.27
! Excess energy over the best structure of this formula in the dataset (meV/atom): 6.1
&SYSTEM
  ibrav = 0, nat = 12, ntyp = 3
/
ATOMIC_SPECIES
Pr 140.91 Pr.upf
C 12.01 C.upf
Hg 200.59 Hg.upf
ATOMIC_POSITIONS angstrom
Pr -1.8555 1.8101 8.1530
Pr -1.4484 -0.9455 1.1556
Pr -4.9010 -2.3066 0.3206
Pr -5.3081 0.4490 7.3180
C -5.2514 -0.0547 -0.5792
C -2.0112 1.5254 0.2461
C -1.5051 -0.4418 9.0528
C -4.7453 -2.0219 8.2275
Hg -2.6634 2.6652 3.8400
Hg -4.2907 -0.5771 3.0874
Hg -4.0931 -3.1617 4.6336
Hg -2.4658 0.0806 5.3862
CELL_PARAMETERS angstrom
-2.8400 2.9269 -0.1282
-4.8826 -4.8068 -1.5786
0.9661 1.3834 10.1805